(1)
Computed, not measured: FePtRh2 after structural relaxation at the PBE level of DFT.

abc: 9.051 2.731 4.683
angles: 90.00 101.26 90.00
Space group C2/m (No. 12)
One atom of each set of equivalent atoms:
Fe: 0.000 0.000 0.000 [2 per cell]
Pt: 0.000 0.500 0.500 [2 per cell]
Rh: 0.244 0.500 0.243 [4 per cell]

Computed properties:
Total magnetic moment (μB per atom): 0.96
Electronic total energy (eV/atom): -7.3702

---

(2)
Computed, not measured: Fe6PtRh5 after structural relaxation at the PBE level of DFT.

abc: 4.512 5.490 6.544
angles: 90.00 94.21 90.00
Space group P2/m (No. 10)
One atom of each set of equivalent atoms:
Fe: 0.000 0.249 0.000 [2 per cell]
Fe: 0.334 0.248 0.664 [4 per cell]
Pt: 0.500 0.500 0.000 [1 per cell]
Rh: 0.163 0.000 0.332 [2 per cell]
Rh: 0.166 0.500 0.334 [2 per cell]
Rh: 0.500 0.000 0.000 [1 per cell]

Computed properties:
Total magnetic moment (μB per atom): 1.68
Electronic total energy (eV/atom): -7.8385

---

(3)
Computed, not measured: Fe2Pt5Rh2 after structural relaxation at the PBE level of DFT.

abc: 3.912 11.542 11.726
angles: 90.00 90.00 90.00
Space group Fmmm (No. 69)
One atom of each set of equivalent atoms:
Fe: 0.000 0.000 0.162 [8 per cell]
Pt: 0.000 0.000 0.500 [4 per cell]
Pt: 0.000 0.159 0.332 [16 per cell]
Rh: 0.000 0.166 0.000 [8 per cell]

Computed properties:
Total magnetic moment (μB per atom): 0.96
Electronic total energy (eV/atom): -7.0288

---

(4)
Computed, not measured: Fe3PtRh after structural relaxation at the PBE level of DFT.

abc: 4.527 4.527 4.527
angles: 90.00 90.00 90.00
Space group Pm-3m (No. 221)
One atom of each set of equivalent atoms:
Fe: 0.000 0.000 0.500 [3 per cell]
Pt: 0.500 0.500 0.500 [1 per cell]
Rh: 0.000 0.000 0.000 [1 per cell]

Computed properties:
Distance to the lowest polymorph of the same formula (meV/atom): 1272
Total magnetic moment (μB per atom): 2.15
Electronic total energy (eV/atom): -6.5222

---

(5)
Computed, not measured: Fe4PtRh5 after structural relaxation at the PBE level of DFT.

abc: 2.711 2.711 18.340
angles: 90.00 90.00 90.00
Space group P4/mmm (No. 123)
One atom of each set of equivalent atoms:
Fe: 0.000 0.000 0.098 [2 per cell]
Fe: 0.000 0.000 0.294 [2 per cell]
Pt: 0.000 0.000 0.500 [1 per cell]
Rh: 0.500 0.500 0.000 [1 per cell]
Rh: 0.500 0.500 0.196 [2 per cell]
Rh: 0.500 0.500 0.390 [2 per cell]

Computed properties:
Total magnetic moment (μB per atom): 1.11
Electronic total energy (eV/atom): -7.6862

---

(6)
Computed, not measured: FePt4Rh after structural relaxation at the PBE level of DFT.

abc: 4.621 8.643 5.357
angles: 90.00 90.09 90.00
Space group P2_1/m (No. 11)
One atom of each set of equivalent atoms:
Fe: 0.170 0.250 0.253 [2 per cell]
Pt: 0.179 0.250 0.759 [2 per cell]
Pt: 0.304 0.750 0.499 [2 per cell]
Pt: 0.478 0.007 0.247 [4 per cell]
Rh: 0.306 0.750 0.998 [2 per cell]

Computed properties:
Distance to the lowest polymorph of the same formula (meV/atom): 322
Total magnetic moment (μB per atom): 0.60
Electronic total energy (eV/atom): -6.4390

---

(7)
Computed, not measured: FePt3Rh after structural relaxation at the PBE level of DFT.

abc: 4.524 4.524 4.524
angles: 90.00 90.00 90.00
Space group Pm-3m (No. 221)
One atom of each set of equivalent atoms:
Fe: 0.000 0.000 0.000 [1 per cell]
Pt: 0.000 0.000 0.500 [3 per cell]
Rh: 0.500 0.500 0.500 [1 per cell]

Computed properties:
Distance to the lowest polymorph of the same formula (meV/atom): 1271
Total magnetic moment (μB per atom): 0.43
Electronic total energy (eV/atom): -5.6735

---

(8)
Computed, not measured: Fe2Pt2Rh3 after structural relaxation at the PBE level of DFT.

abc: 2.719 27.016 2.717
angles: 90.00 90.00 90.00
Space group Cmmm (No. 65)
One atom of each set of equivalent atoms:
Fe: 0.000 0.138 0.000 [4 per cell]
Pt: 0.000 0.294 0.500 [4 per cell]
Rh: 0.000 0.000 0.000 [2 per cell]
Rh: 0.000 0.429 0.500 [4 per cell]

Computed properties:
Total magnetic moment (μB per atom): 0.87
Electronic total energy (eV/atom): -7.3634

---

(9)
Computed, not measured: FePtRh2 after structural relaxation at the PBE level of DFT.

abc: 3.843 3.843 7.668
angles: 90.00 90.00 90.00
Space group I-4m2 (No. 119)
One atom of each set of equivalent atoms:
Fe: 0.000 0.000 0.000 [2 per cell]
Pt: 0.000 0.500 0.750 [2 per cell]
Rh: 0.000 0.000 0.500 [2 per cell]
Rh: 0.000 0.500 0.250 [2 per cell]

Computed properties:
Total magnetic moment (μB per atom): 0.90
Electronic total energy (eV/atom): -7.4139

---

(10)
Computed, not measured: Fe6Pt3Rh after structural relaxation at the PBE level of DFT.

abc: 7.174 4.365 9.367
angles: 90.00 111.19 90.00
Space group P2_1/m (No. 11)
One atom of each set of equivalent atoms:
Fe: 0.045 0.250 0.423 [2 per cell]
Fe: 0.161 0.750 0.178 [2 per cell]
Fe: 0.244 0.250 0.023 [2 per cell]
Fe: 0.349 0.250 0.306 [2 per cell]
Fe: 0.358 0.750 0.777 [2 per cell]
Fe: 0.432 0.250 0.609 [2 per cell]
Pt: 0.058 0.750 0.878 [2 per cell]
Pt: 0.140 0.250 0.721 [2 per cell]
Pt: 0.263 0.750 0.472 [2 per cell]
Rh: 0.459 0.750 0.089 [2 per cell]

Computed properties:
Total magnetic moment (μB per atom): 1.96
Electronic total energy (eV/atom): -7.7252

---

(11)
Computed, not measured: FePt5Rh4 after structural relaxation at the PBE level of DFT.

abc: 2.755 3.889 13.778
angles: 90.00 90.00 90.00
Space group Pmmm (No. 47)
One atom of each set of equivalent atoms:
Fe: 0.000 0.000 0.000 [1 per cell]
Pt: 0.500 0.500 0.096 [2 per cell]
Pt: 0.500 0.500 0.297 [2 per cell]
Pt: 0.500 0.500 0.500 [1 per cell]
Rh: 0.000 0.000 0.198 [2 per cell]
Rh: 0.000 0.000 0.399 [2 per cell]

Computed properties:
Total magnetic moment (μB per atom): 0.33
Electronic total energy (eV/atom): -6.8780

---

(12)
Computed, not measured: Fe5Pt2Rh2 after structural relaxation at the PBE level of DFT.

abc: 2.669 4.042 11.623
angles: 99.96 96.47 90.04
Space group P-1 (No. 2)
One atom of each set of equivalent atoms:
Fe: 0.000 0.000 0.000 [1 per cell]
Fe: 0.175 0.777 0.555 [2 per cell]
Fe: 0.365 0.551 0.103 [2 per cell]
Pt: 0.179 0.893 0.787 [2 per cell]
Rh: 0.386 0.672 0.345 [2 per cell]

Computed properties:
Total magnetic moment (μB per atom): 1.86
Electronic total energy (eV/atom): -7.7241

---

Copy entry 10 word for word.
Computed, not measured: Fe6Pt3Rh after structural relaxation at the PBE level of DFT.

abc: 7.174 4.365 9.367
angles: 90.00 111.19 90.00
Space group P2_1/m (No. 11)
One atom of each set of equivalent atoms:
Fe: 0.045 0.250 0.423 [2 per cell]
Fe: 0.161 0.750 0.178 [2 per cell]
Fe: 0.244 0.250 0.023 [2 per cell]
Fe: 0.349 0.250 0.306 [2 per cell]
Fe: 0.358 0.750 0.777 [2 per cell]
Fe: 0.432 0.250 0.609 [2 per cell]
Pt: 0.058 0.750 0.878 [2 per cell]
Pt: 0.140 0.250 0.721 [2 per cell]
Pt: 0.263 0.750 0.472 [2 per cell]
Rh: 0.459 0.750 0.089 [2 per cell]

Computed properties:
Total magnetic moment (μB per atom): 1.96
Electronic total energy (eV/atom): -7.7252